[1]
A plane-wave DFT calculation with PBE was carried out for a geometry-optimized CaMn2Hg structure.

abc: 4.3879 4.3879 8.5670
angles: 90.00 90.00 90.00
Space group I-4m2 (No. 119)
One atom of each set of equivalent atoms:
Ca 0.0000 0.0000 0.0000 x2
Mn 0.0000 0.0000 0.5000 x2
Mn 0.0000 0.5000 0.2500 x2
Hg 0.0000 0.5000 0.7500 x2

Energy relative to the elements in meV per atom: 347
Crystal system: tetragonal
Magnetization in μB/atom: 1.948
E_tot in eV/atom: -4.814
Calculated volume in Å³/f.u.: 82.47

[2]
A plane-wave DFT calculation with PBE was carried out for a geometry-optimized CaMnHg2 structure.

abc: 10.3800 3.8741 4.9530
angles: 90.00 109.65 90.00
Space group Cm (No. 8)
One atom of each set of equivalent atoms:
Ca 0.0000 0.0000 0.0000 x2
Mn 0.2675 0.5000 0.3195 x2
Hg 0.2439 0.0000 0.7699 x2
Hg 0.4931 0.0000 0.4823 x2

Energy relative to the elements in meV per atom: 27
Crystal system: monoclinic
Magnetization in μB/atom: 1.048
E_tot in eV/atom: -2.917
Calculated volume in Å³/f.u.: 93.79

[3]
A plane-wave DFT calculation with PBE was carried out for a geometry-optimized CaMn2Hg structure.

abc: 3.3929 4.8086 5.5186
angles: 90.00 99.61 90.00
Space group P2/m (No. 10)
One atom of each set of equivalent atoms:
Ca 0.0000 0.0000 0.0000 x1
Mn 0.3617 0.5000 0.7277 x2
Hg 0.5000 0.0000 0.5000 x1

Energy relative to the elements in meV per atom: 406
Crystal system: monoclinic
Magnetization in μB/atom: 1.978
E_tot in eV/atom: -4.755
Calculated volume in Å³/f.u.: 88.77

[4]
A plane-wave DFT calculation with PBE was carried out for a geometry-optimized CaMn2Hg structure.

abc: 3.4701 3.4701 6.9979
angles: 90.00 90.00 90.00
Space group P4mm (No. 99)
One atom of each set of equivalent atoms:
Ca 0.0000 0.0000 0.0000 x1
Mn 0.0000 0.0000 0.5257 x1
Mn 0.5000 0.5000 0.7059 x1
Hg 0.5000 0.5000 0.2965 x1

Energy relative to the elements in meV per atom: 265
Crystal system: tetragonal
Magnetization in μB/atom: 1.921
E_tot in eV/atom: -4.895
Calculated volume in Å³/f.u.: 84.27

[5]
A plane-wave DFT calculation with PBE was carried out for a geometry-optimized CaMnHg2 structure.

abc: 3.7993 3.7993 6.6128
angles: 90.00 90.00 90.00
Space group P4mm (No. 99)
One atom of each set of equivalent atoms:
Ca 0.0000 0.0000 0.0000 x1
Mn 0.5000 0.5000 0.6883 x1
Hg 0.0000 0.0000 0.5272 x1
Hg 0.5000 0.5000 0.2502 x1

Energy relative to the elements in meV per atom: 33
Crystal system: tetragonal
Magnetization in μB/atom: 1.006
E_tot in eV/atom: -2.910
Calculated volume in Å³/f.u.: 95.45

[6]
A plane-wave DFT calculation with PBE was carried out for a geometry-optimized Ca2MnHg structure.

abc: 3.8487 3.8487 28.5945
angles: 90.00 90.00 120.00
Space group R3m (No. 160, hexagonal axes)
One atom of each set of equivalent atoms:
Ca 0.0000 0.0000 0.0000 x3
Ca 0.0000 0.0000 0.2183 x3
Mn 0.0000 0.0000 0.7488 x3
Hg 0.0000 0.0000 0.4726 x3

Energy relative to the elements in meV per atom: 225
Crystal system: trigonal
Magnetization in μB/atom: 1.003
E_tot in eV/atom: -3.144
Calculated volume in Å³/f.u.: 122.27

[7]
A plane-wave DFT calculation with PBE was carried out for a geometry-optimized Ca2MnHg structure.

abc: 7.4080 7.4889 3.8008
angles: 90.00 90.00 90.00
Space group Cmmm (No. 65)
One atom of each set of equivalent atoms:
Ca 0.2500 0.2500 0.0000 x4
Mn 0.0000 0.0000 0.5000 x2
Hg 0.0000 0.5000 0.5000 x2

Energy relative to the elements in meV per atom: 4
Crystal system: orthorhombic
Magnetization in μB/atom: 1.017
E_tot in eV/atom: -3.365
Calculated volume in Å³/f.u.: 105.43

[8]
A plane-wave DFT calculation with PBE was carried out for a geometry-optimized CaMnHg2 structure.

abc: 4.8441 4.8441 3.9281
angles: 90.00 90.00 90.00
Space group P4/mmm (No. 123)
One atom of each set of equivalent atoms:
Ca 0.0000 0.0000 0.0000 x1
Mn 0.5000 0.5000 0.0000 x1
Hg 0.0000 0.5000 0.5000 x2

Energy relative to the elements in meV per atom: -27
Crystal system: tetragonal
Magnetization in μB/atom: 1.023
E_tot in eV/atom: -2.971
Calculated volume in Å³/f.u.: 92.17